No. 1
First-principles (meta-GGA SCAN) data for a crystal of Fe2NiHg relaxed with PBEsol, as listed in Alexandria.

Computed properties:
SG: R-3m, No. 166
DFT formation energy (eV per atom): 0.3629
Mass density (Mg/m³): 11.35

Cell lengths 8.683, 8.683, 8.683 Å; angles 17.95, 17.95, 17.95 degrees
Atoms (fractional coordinates):
Fe1 0.241 0.241 0.241
Fe2 0.759 0.759 0.759
Ni1 0.500 0.500 0.500
Hg1 0.000 0.000 0.000

No. 2
First-principles (meta-GGA SCAN) data for a crystal of Fe2NiHg relaxed with PBEsol, as listed in Alexandria.

Computed properties:
SG: Cm, No. 8
DFT formation energy (eV per atom): 0.2154
Mass density (Mg/m³): 11.54

Cell lengths 4.429, 4.429, 4.728 Å; angles 101.40, 101.40, 36.04 degrees
Atoms (fractional coordinates):
Fe1 0.000 0.000 0.000
Fe2 0.737 0.737 0.213
Ni1 0.260 0.260 0.789
Hg1 0.500 0.500 0.505

No. 3
First-principles (meta-GGA SCAN) data for a crystal of Fe2NiHg relaxed with PBEsol, as listed in Alexandria.

Computed properties:
SG: Pmm2, No. 25
DFT formation energy (eV per atom): 0.1347
Mass density (Mg/m³): 11.72

Cell lengths 2.945, 2.979, 5.992 Å; angles 90.00, 90.00, 90.00 degrees
Atoms (fractional coordinates):
Fe1 0.000 0.000 0.000
Fe2 0.500 0.500 0.211
Ni1 0.500 0.500 0.791
Hg1 0.000 0.000 0.507

No. 4
First-principles (meta-GGA SCAN) data for a crystal of FeNiHg relaxed with PBEsol, as listed in Alexandria.

Computed properties:
SG: I4mm, No. 107
DFT formation energy (eV per atom): 0.2030
Mass density (Mg/m³): 12.53

Cell lengths 5.367, 5.367, 5.367 Å; angles 148.63, 148.63, 44.96 degrees
Atoms (fractional coordinates):
Fe1 0.000 0.000 0.000
Ni1 0.375 0.375 0.000
Hg1 0.692 0.692 0.000

No. 5
First-principles (meta-GGA SCAN) data for a crystal of Fe2NiHg relaxed with PBEsol, as listed in Alexandria.

Computed properties:
SG: Cmmm, No. 65
DFT formation energy (eV per atom): 0.2399
Mass density (Mg/m³): 11.56

Cell lengths 4.634, 4.634, 2.681 Å; angles 90.00, 90.00, 112.21 degrees
Atoms (fractional coordinates):
Fe1 0.000 0.500 0.000
Fe2 0.500 0.000 0.000
Ni1 0.000 0.000 0.500
Hg1 0.500 0.500 0.500

No. 6
First-principles (meta-GGA SCAN) data for a crystal of Fe2NiHg relaxed with PBEsol, as listed in Alexandria.

Computed properties:
SG: I-4m2, No. 119
DFT formation energy (eV per atom): 0.2148
Mass density (Mg/m³): 11.83

Cell lengths 4.480, 4.480, 4.480 Å; angles 129.60, 129.60, 74.05 degrees
Atoms (fractional coordinates):
Fe1 0.000 0.000 0.000
Fe2 0.750 0.250 0.500
Ni1 0.250 0.750 0.500
Hg1 0.500 0.500 0.000

No. 7
First-principles (meta-GGA SCAN) data for a crystal of Fe2HgO4 relaxed with PBEsol, as listed in Alexandria.

Computed properties:
E_form (uncorrected) (eV per atom): -1.077
SG: Fd-3m, No. 227
Mass density (Mg/m³): 8.32

Cell lengths 5.966, 5.966, 5.966 Å; angles 60.00, 60.00, 60.00 degrees
Atoms (fractional coordinates):
Fe1 0.000 0.000 0.000
Fe2 0.000 0.000 0.500
Fe3 0.000 0.500 0.000
Fe4 0.500 0.000 0.000
Hg1 0.375 0.375 0.375
Hg2 0.625 0.625 0.625
O1 0.178 0.774 0.774
O2 0.226 0.226 0.226
O3 0.226 0.226 0.822
O4 0.226 0.822 0.226
O5 0.774 0.178 0.774
O6 0.774 0.774 0.178
O7 0.774 0.774 0.774
O8 0.822 0.226 0.226

No. 8
First-principles (meta-GGA SCAN) data for a crystal of FeHgPO2 relaxed with PBEsol, as listed in Alexandria.

Computed properties:
E_form (uncorrected) (eV per atom): 0.869
SG: P4/mmm, No. 123
Mass density (Mg/m³): 6.50

Cell lengths 4.008, 4.008, 5.082 Å; angles 90.00, 90.00, 90.00 degrees
Atoms (fractional coordinates):
Fe1 0.000 0.000 0.000
Hg1 0.500 0.500 0.500
P1 0.500 0.500 0.000
O1 0.000 0.500 0.500
O2 0.500 0.000 0.500